# 1
# Sr2LiGaO | Alexandria | PBE | optimized geometry
data_Sr2LiGaO
_cell_length_a 5.280
_cell_length_b 5.280
_cell_length_c 4.047
_cell_angle_alpha 90.00
_cell_angle_beta 90.00
_cell_angle_gamma 90.00
_symmetry_space_group_name_H-M 'P 1'
_symmetry_Int_Tables_number 1
loop_
_symmetry_equiv_pos_as_xyz
'x,y,z'
loop_
_atom_site_label
_atom_site_type_symbol
_atom_site_fract_x
_atom_site_fract_y
_atom_site_fract_z
Sr1 Sr 0.000 0.500 0.000
Sr2 Sr 0.500 0.000 0.000
O1 O 0.000 0.000 0.000
Ga1 Ga 0.500 0.500 0.500
Li1 Li 0.000 0.000 0.500
# - Calculated volume: 112.8 Å³/f.u.
# - Formation energy from raw total energies: -5.85 eV per formula unit
# - Symmetry: P4/mmm (123)
# - Total magnetization: 0.00 μB/f.u.
# - Total DFT energy (no corrections): -3.822 eV/atom
# - Crystal system: tetragonal



# 2
# KFe2Sn | Alexandria | PBE | optimized geometry
data_KFe2Sn
_cell_length_a 4.845
_cell_length_b 4.845
_cell_length_c 9.893
_cell_angle_alpha 75.83
_cell_angle_beta 75.83
_cell_angle_gamma 90.00
_symmetry_space_group_name_H-M 'P 1'
_symmetry_Int_Tables_number 1
loop_
_symmetry_equiv_pos_as_xyz
'x,y,z'
loop_
_atom_site_label
_atom_site_type_symbol
_atom_site_fract_x
_atom_site_fract_y
_atom_site_fract_z
K1 K 0.500 0.500 0.000
K2 K 0.250 0.750 0.500
Sn1 Sn 0.000 0.000 0.000
Sn2 Sn 0.750 0.250 0.500
Fe1 Fe 0.875 0.125 0.250
Fe2 Fe 0.875 0.625 0.250
Fe3 Fe 0.375 0.125 0.750
Fe4 Fe 0.875 0.125 0.750
# - Calculated volume: 108.9 Å³/f.u.
# - Symmetry: I4_1/amd (141)
# - Total magnetization: 5.17 μB/f.u.
# - Total DFT energy (no corrections): -4.764 eV/atom
# - Crystal system: tetragonal



# 3
# ZrTlCuF6 | Alexandria | PBE | optimized geometry
data_ZrTlCuF6
_cell_length_a 5.839
_cell_length_b 5.839
_cell_length_c 11.694
_cell_angle_alpha 90.00
_cell_angle_beta 90.00
_cell_angle_gamma 120.00
_symmetry_space_group_name_H-M 'P 1'
_symmetry_Int_Tables_number 1
loop_
_symmetry_equiv_pos_as_xyz
'x,y,z'
loop_
_atom_site_label
_atom_site_type_symbol
_atom_site_fract_x
_atom_site_fract_y
_atom_site_fract_z
Zr1 Zr 0.667 0.333 0.250
Zr2 Zr 0.333 0.667 0.750
Tl1 Tl 0.000 0.000 0.000
Tl2 Tl 0.000 0.000 0.500
Cu1 Cu 0.333 0.667 0.250
Cu2 Cu 0.667 0.333 0.750
F1 F 0.635 0.606 0.151
F2 F 0.971 0.365 0.151
F3 F 0.365 0.971 0.651
F4 F 0.029 0.635 0.849
F5 F 0.394 0.365 0.349
F6 F 0.971 0.606 0.349
F7 F 0.606 0.971 0.849
F8 F 0.635 0.029 0.349
F9 F 0.029 0.394 0.651
F10 F 0.394 0.029 0.151
F11 F 0.606 0.635 0.651
F12 F 0.365 0.394 0.849
# - Calculated volume: 172.7 Å³/f.u.
# - Formation energy from raw total energies: -23.80 eV per formula unit
# - Symmetry: P-31c (163)
# - Total magnetization: 0.11 μB/f.u.
# - Total DFT energy (no corrections): -5.560 eV/atom
# - Crystal system: trigonal



# 4
# Be2HSe | Alexandria | PBE | optimized geometry
data_Be2HSe
_cell_length_a 3.768
_cell_length_b 5.546
_cell_length_c 5.780
_cell_angle_alpha 112.36
_cell_angle_beta 90.40
_cell_angle_gamma 90.00
_symmetry_space_group_name_H-M 'P 1'
_symmetry_Int_Tables_number 1
loop_
_symmetry_equiv_pos_as_xyz
'x,y,z'
loop_
_atom_site_label
_atom_site_type_symbol
_atom_site_fract_x
_atom_site_fract_y
_atom_site_fract_z
Be1 Be 0.275 0.312 0.693
Be2 Be 0.866 0.572 0.685
Be3 Be 0.391 0.217 0.107
Be4 Be 0.757 0.218 0.783
H1 H 0.475 0.397 0.948
H2 H 0.488 0.082 0.593
Se1 Se 0.889 0.980 0.010
Se2 Se 0.374 0.558 0.464
# - Calculated volume: 55.9 Å³/f.u.
# - Symmetry: P1 (1)
# - Total magnetization: 0.00 μB/f.u.
# - Energy relative to the lowest polymorph listed for this composition: 12.9 meV per atom
# - Total DFT energy (no corrections): -3.801 eV/atom
# - Crystal system: triclinic



Number 2 is which compound?
KFe2Sn



What is the formula in the third record?
ZrTlCuF6